4
Lattice="3.8230 0.0000 0.0000 0.0000 3.8230 0.0000 0.0000 0.0000 5.8300" Properties=species:S:1:pos:R:3 comment="Sc2CoSb, optimized geometry, DFT GGA-PBE" energy_ev_per_atom=-6.240 e_form_raw_kj_per_mol_atoms=-25.8 pbc="T T T"
Co 0.0000 0.0000 2.3609
Sb 1.9115 1.9115 4.6494
Sc 1.9115 1.9115 1.7964
Sc 0.0000 0.0000 5.7683